{"formula": "Sr2NiB2Rh5", "functional": "PBE", "state": "relaxed", "e_tot_ev_per_atom": -6.14, "formation_energy_ev_per_atom": -0.213, "sg": "No. 127", "lattice_angstrom": [[-2.4838, -1.5306, -0.7080], [2.9922, -7.5581, 5.8423], [-4.7609, 4.1279, 7.7785]], "species": ["Sr", "Sr", "Sr", "Sr", "Ni", "Ni", "B", "B", "B", "B", "Rh", "Rh", "Rh", "Rh", "Rh", "Rh", "Rh", "Rh", "Rh", "Rh"], "fractional_positions": [[0.0000, 0.6789, 0.1789], [0.0000, 0.3211, 0.8211], [0.0000, 0.1789, 0.3211], [0.0000, 0.8211, 0.6789], [0.0000, 0.0000, 0.0000], [0.0000, 0.5000, 0.5000], [0.0000, 0.1219, 0.6219], [0.0000, 0.8781, 0.3781], [0.0000, 0.6219, 0.8781], [0.0000, 0.3781, 0.1219], [0.5000, 0.2258, 0.0677], [0.5000, 0.7742, 0.9323], [0.5000, 0.0677, 0.7742], [0.5000, 0.7258, 0.4323], [0.5000, 0.9323, 0.2258], [0.5000, 0.2742, 0.5677], [0.5000, 0.5677, 0.7258], [0.5000, 0.4323, 0.2742], [0.5000, 0.5000, 0.0000], [0.5000, 0.0000, 0.5000]]}